Bi2PdO4 PBEsol optimized geometry; theoretical density = 9.1 g/cm3; polymorph energy (0 for the lowest one) = 0.000 eV per atom; crystal system = tetragonal; raw total energy = -0.225 hartree per atom; magnetic moment = 0.000 Bohr magnetons per cell; formation energy (no corrections) = -1.035 eV per atom
1.0
8.434 0.000 0.000
0.000 8.434 0.000
0.000 0.000 6.027
Bi Pd O
8 4 16
direct
0.082 0.582 0.250
0.082 0.918 0.750
0.418 0.582 0.750
0.418 0.918 0.250
0.582 0.082 0.750
0.582 0.418 0.250
0.918 0.082 0.250
0.918 0.418 0.750
0.250 0.250 0.081
0.250 0.250 0.581
0.750 0.750 0.419
0.750 0.750 0.919
0.034 0.149 0.590
0.034 0.351 0.090
0.149 0.034 0.090
0.149 0.466 0.590
0.351 0.034 0.590
0.351 0.466 0.090
0.466 0.149 0.090
0.466 0.351 0.590
0.534 0.649 0.410
0.534 0.851 0.910
0.649 0.534 0.910
0.649 0.966 0.410
0.851 0.534 0.410
0.851 0.966 0.910
0.966 0.649 0.910
0.966 0.851 0.410

***

LaTlCd2 PBEsol optimized geometry; theoretical density = 9.1 g/cm3; crystal system = monoclinic; raw total energy = -0.099 hartree per atom; magnetic moment = 0.000 Bohr magnetons per cell; formation enthalpy at 0 K = -0.11 eV per atom
1.0
6.480 0.000 0.000
0.000 11.161 0.000
-1.185 0.000 2.858
La Tl Cd
2 2 4
direct
0.000 0.000 0.000
0.500 0.500 0.000
0.000 0.500 0.000
0.500 0.000 0.000
0.250 0.250 0.500
0.250 0.750 0.500
0.750 0.250 0.500
0.750 0.750 0.500

***

MoIr2Rh PBEsol optimized geometry; theoretical density = 17.2 g/cm3; polymorph energy (0 for the lowest one) = 0.043 eV per atom; crystal system = tetragonal; raw total energy = -0.372 hartree per atom; magnetic moment = 0.000 Bohr magnetons per cell; formation enthalpy at 0 K = -0.22 eV per atom
1.0
3.834 0.000 0.000
0.000 3.834 0.000
0.000 0.000 7.676
Mo Ir Rh
2 4 2
direct
0.000 0.000 0.000
0.500 0.500 0.500
0.000 0.000 0.500
0.000 0.500 0.250
0.500 0.000 0.750
0.500 0.500 0.000
0.000 0.500 0.750
0.500 0.000 0.250

***

Be2CoSi PBEsol optimized geometry; theoretical density = 4.7 g/cm3; crystal system = tetragonal; raw total energy = -0.211 hartree per atom; magnetic moment = 0.000 Bohr magnetons per cell; formation energy (no corrections) = -0.364 eV per atom
1.0
3.321 0.000 0.000
0.000 3.321 0.000
0.000 0.000 6.699
Be Co Si
4 2 2
direct
0.000 0.000 0.000
0.000 0.500 0.250
0.500 0.000 0.750
0.500 0.500 0.500
0.000 0.500 0.750
0.500 0.000 0.250
0.000 0.000 0.500
0.500 0.500 0.000

***

SiAgI3 PBEsol optimized geometry; theoretical density = 5.2 g/cm3; crystal system = cubic; raw total energy = -0.086 hartree per atom; magnetic moment = 0.672 Bohr magnetons per cell; formation energy (no corrections) = 0.544 eV per atom
1.0
5.496 0.000 0.000
0.000 5.496 0.000
0.000 0.000 5.496
Si Ag I
1 1 3
direct
0.000 0.000 0.000
0.500 0.500 0.500
0.000 0.500 0.500
0.500 0.000 0.500
0.500 0.500 0.000

***

La3ZrCd PBEsol optimized geometry; theoretical density = 5.3 g/cm3; crystal system = cubic; raw total energy = -0.163 hartree per atom; magnetic moment = 2.884 Bohr magnetons per cell; formation enthalpy at 0 K = 0.84 eV per atom
1.0
5.787 0.000 0.000
0.000 5.787 0.000
0.000 0.000 5.787
La Zr Cd
3 1 1
direct
0.000 0.000 0.500
0.000 0.500 0.000
0.500 0.000 0.000
0.500 0.500 0.500
0.000 0.000 0.000